## BeV (GGA-PBE)

Data for a relaxed BeV crystal.

Results
The calculation puts the volume at 232 Å³/cell. The value obtained for the final energy is -53.64 eV for the cell shown. For the calculated formation energy, the calculation gives 1.952 eV per atom.

Structure (POSCAR):
```
BeV
1.0
6.147 0.000 0.000
0.000 6.147 0.000
0.000 0.000 6.147
V Be
6 6
direct
0.000 0.500 0.250
0.500 0.750 0.000
0.750 0.000 0.500
0.500 0.250 0.000
0.000 0.500 0.750
0.250 0.000 0.500
0.750 0.500 0.000
0.250 0.500 0.000
0.000 0.750 0.500
0.500 0.000 0.250
0.500 0.000 0.750
0.000 0.250 0.500
```

---

## BeV3 (GGA-PBE)

Data for a relaxed BeV3 crystal.

Results
The calculation puts the volume at 50 Å³/cell. The value obtained for the final energy is -30.66 eV for the cell shown. For the calculated formation energy, the calculation gives 0.106 eV per atom.

Structure (POSCAR):
```
BeV3
1.0
2.365 0.000 0.000
0.000 4.856 0.000
-1.183 -2.428 4.324
Be V
1 3
direct
0.000 0.024 0.000
0.252 0.559 0.504
0.500 0.527 0.000
0.748 0.055 0.496
```

---

## BeV (GGA-PBE)

Data for a relaxed BeV crystal.

Results
The calculation puts the volume at 93 Å³/cell. The value obtained for the final energy is -47.66 eV for the cell shown. For the calculated formation energy, the calculation gives 0.465 eV per atom.

Structure (POSCAR):
```
BeV
1.0
-0.740 -4.429 0.569
2.780 -0.908 -3.455
3.494 -0.216 2.869
V Be
4 4
direct
0.500 0.000 0.000
0.000 0.500 0.000
0.000 0.000 0.500
0.500 0.500 0.500
0.000 0.000 0.000
0.500 0.000 0.500
0.500 0.500 0.000
0.000 0.500 0.500
```

---

## BeV (GGA-PBE)

Data for a relaxed BeV crystal.

Results
The calculation puts the volume at 45 Å³/cell. The value obtained for the final energy is -24.47 eV for the cell shown. For the calculated formation energy, the calculation gives 0.305 eV per atom.

Structure (POSCAR):
```
BeV
1.0
-1.758 -0.612 -1.281
2.105 -3.549 -1.193
-1.819 -2.287 3.590
Be V
2 2
direct
0.000 0.500 0.000
0.500 0.000 0.500
0.500 0.000 0.000
0.000 0.500 0.500
```

---

## BeV3 (GGA-PBE)

Data for a relaxed BeV3 crystal.

Results
The calculation puts the volume at 98 Å³/cell. The value obtained for the final energy is -62.20 eV for the cell shown. For the calculated formation energy, the calculation gives -0.004 eV per atom.

Structure (POSCAR):
```
BeV3
1.0
-3.064 0.494 3.405
-3.266 -1.854 -2.670
1.084 -4.189 1.583
V Be
6 2
direct
0.750 0.000 0.500
0.250 0.000 0.500
0.000 0.500 0.250
0.500 0.250 0.000
0.500 0.750 0.000
0.000 0.500 0.750
0.000 0.000 0.000
0.500 0.500 0.500
```

---

## BeV (GGA-PBE)

Data for a relaxed BeV crystal.

Results
The calculation puts the volume at 124 Å³/cell. The value obtained for the final energy is -36.97 eV for the cell shown. For the calculated formation energy, the calculation gives 1.801 eV per atom.

Structure (POSCAR):
```
BeV
1.0
4.985 0.000 0.000
0.000 4.985 0.000
0.000 0.000 4.985
Be V
4 4
direct
0.250 0.750 0.750
0.750 0.250 0.750
0.250 0.250 0.250
0.750 0.750 0.250
0.500 0.500 0.000
0.000 0.000 0.000
0.000 0.500 0.500
0.500 0.000 0.500
```